Entry 1:
VASP calculation (PBE-GGA) on a relaxed Er3ScN crystal.

```
data_Er3ScN
_chemical_formula_sum 'Er3 Sc1 N1'
_cell_length_a 4.8420
_cell_length_b 4.8420
_cell_length_c 4.8420
_cell_angle_alpha 90.00
_cell_angle_beta 90.00
_cell_angle_gamma 90.00
_symmetry_space_group_name_H-M 'P 1'
_symmetry_Int_Tables_number 1
loop_
_symmetry_equiv_pos_as_xyz
'x,y,z'
loop_
_atom_site_label
_atom_site_type_symbol
_atom_site_fract_x
_atom_site_fract_y
_atom_site_fract_z
Er1 Er 0.0000 0.0000 0.5000
Er2 Er 0.0000 0.5000 0.0000
Er3 Er 0.5000 0.0000 0.0000
Sc1 Sc 0.5000 0.5000 0.5000
N1 N 0.0000 0.0000 0.0000
```

Output
Uncorrected formation energy (eV/atom): -0.58
Total magnetic moment (μB/cell): 0.1
SG: No. 221

***

Entry 2:
VASP calculation (PBE-GGA) on a relaxed YH3Pt crystal.

```
data_YH3Pt
_chemical_formula_sum 'Y4 H12 Pt4'
_cell_length_a 6.0558
_cell_length_b 6.0558
_cell_length_c 6.3858
_cell_angle_alpha 102.17
_cell_angle_beta 102.17
_cell_angle_gamma 102.61
_symmetry_space_group_name_H-M 'P 1'
_symmetry_Int_Tables_number 1
loop_
_symmetry_equiv_pos_as_xyz
'x,y,z'
loop_
_atom_site_label
_atom_site_type_symbol
_atom_site_fract_x
_atom_site_fract_y
_atom_site_fract_z
Y1 Y 0.0884 0.9116 0.7500
Y2 Y 0.3438 0.6562 0.2500
Y3 Y 0.6562 0.3438 0.7500
Y4 Y 0.9116 0.0884 0.2500
H1 H 0.0584 0.5780 0.8806
H2 H 0.0578 0.8142 0.3822
H3 H 0.1858 0.9422 0.1178
H4 H 0.2971 0.3323 0.4785
H5 H 0.3323 0.2971 0.9785
H6 H 0.4220 0.9416 0.6194
H7 H 0.5780 0.0584 0.3806
H8 H 0.6677 0.7029 0.0215
H9 H 0.7029 0.6677 0.5215
H10 H 0.8142 0.0578 0.8822
H11 H 0.9422 0.1858 0.6178
H12 H 0.9416 0.4220 0.1194
Pt1 Pt 0.1743 0.4383 0.6799
Pt2 Pt 0.4383 0.1743 0.1799
Pt3 Pt 0.5617 0.8257 0.8201
Pt4 Pt 0.8257 0.5617 0.3201
```

Output
Total magnetic moment (μB/cell): 0.0
SG: No. 15

***

Entry 3:
VASP calculation (PBE-GGA) on a relaxed Li5Cd6Ge crystal.

```
data_Li5Cd6Ge
_chemical_formula_sum 'Li5 Cd6 Ge1'
_cell_length_a 7.8830
_cell_length_b 7.8830
_cell_length_c 7.8830
_cell_angle_alpha 147.32
_cell_angle_beta 119.15
_cell_angle_gamma 70.81
_symmetry_space_group_name_H-M 'P 1'
_symmetry_Int_Tables_number 1
loop_
_symmetry_equiv_pos_as_xyz
'x,y,z'
loop_
_atom_site_label
_atom_site_type_symbol
_atom_site_fract_x
_atom_site_fract_y
_atom_site_fract_z
Li1 Li 0.0000 0.0000 0.0000
Li2 Li 0.1717 0.6717 0.5000
Li3 Li 0.3519 0.3519 0.0000
Li4 Li 0.6481 0.6481 0.0000
Li5 Li 0.8283 0.3283 0.5000
Cd1 Cd 0.0678 0.8309 0.2370
Cd2 Cd 0.2251 0.5000 0.7251
Cd3 Cd 0.4061 0.1691 0.2370
Cd4 Cd 0.5939 0.8309 0.7630
Cd5 Cd 0.7749 0.5000 0.2749
Cd6 Cd 0.9322 0.1691 0.7630
Ge1 Ge 0.5000 0.0000 0.5000
```

Output
E_form (eV/atom): -0.19
Total magnetic moment (μB/cell): 0.0
SG: No. 71

***

Entry 4:
VASP calculation (PBE-GGA) on a relaxed PaSiOsRu crystal.

```
data_PaSiOsRu
_chemical_formula_sum 'Pa1 Si1 Os1 Ru1'
_cell_length_a 3.7311
_cell_length_b 4.5515
_cell_length_c 4.5832
_cell_angle_alpha 90.00
_cell_angle_beta 90.00
_cell_angle_gamma 90.00
_symmetry_space_group_name_H-M 'P 1'
_symmetry_Int_Tables_number 1
loop_
_symmetry_equiv_pos_as_xyz
'x,y,z'
loop_
_atom_site_label
_atom_site_type_symbol
_atom_site_fract_x
_atom_site_fract_y
_atom_site_fract_z
Pa1 Pa 0.0000 0.0000 0.0000
Si1 Si 0.5000 0.5000 0.5000
Os1 Os 0.5000 0.5000 0.0000
Ru1 Ru 0.5000 0.0000 0.5000
```

Output
Uncorrected formation energy (eV/atom): -0.14
Total magnetic moment (μB/cell): 0.0
SG: No. 47

***

Entry 5:
VASP calculation (PBE-GGA) on a relaxed Ho2MgSn crystal.

```
data_Ho2MgSn
_chemical_formula_sum 'Ho2 Mg1 Sn1'
_cell_length_a 4.8439
_cell_length_b 4.8439
_cell_length_c 4.4150
_cell_angle_alpha 90.00
_cell_angle_beta 90.00
_cell_angle_gamma 90.00
_symmetry_space_group_name_H-M 'P 1'
_symmetry_Int_Tables_number 1
loop_
_symmetry_equiv_pos_as_xyz
'x,y,z'
loop_
_atom_site_label
_atom_site_type_symbol
_atom_site_fract_x
_atom_site_fract_y
_atom_site_fract_z
Ho1 Ho 0.0000 0.5000 0.0000
Ho2 Ho 0.5000 0.0000 0.0000
Mg1 Mg 0.0000 0.0000 0.5000
Sn1 Sn 0.5000 0.5000 0.5000
```

Output
E_form (eV/atom): -0.43
Total magnetic moment (μB/cell): 0.0
SG: No. 123

***

Entry 6:
VASP calculation (PBE-GGA) on a relaxed SrInNi2H8 crystal.

```
data_SrInNi2H8
_chemical_formula_sum 'Sr1 In1 Ni2 H8'
_cell_length_a 4.4922
_cell_length_b 4.4922
_cell_length_c 6.9052
_cell_angle_alpha 90.00
_cell_angle_beta 90.00
_cell_angle_gamma 120.00
_symmetry_space_group_name_H-M 'P 1'
_symmetry_Int_Tables_number 1
loop_
_symmetry_equiv_pos_as_xyz
'x,y,z'
loop_
_atom_site_label
_atom_site_type_symbol
_atom_site_fract_x
_atom_site_fract_y
_atom_site_fract_z
Sr1 Sr 0.0000 0.0000 0.0000
In1 In 0.0000 0.0000 0.5000
Ni1 Ni 0.3333 0.6667 0.6942
Ni2 Ni 0.6667 0.3333 0.3058
H1 H 0.0257 0.6685 0.3009
H2 H 0.3315 0.3572 0.3009
H3 H 0.3333 0.6667 0.9145
H4 H 0.3572 0.0257 0.6991
H5 H 0.6428 0.9743 0.3009
H6 H 0.6667 0.3333 0.0855
H7 H 0.6685 0.6428 0.6991
H8 H 0.9743 0.3315 0.6991
```

Output
Total magnetic moment (μB/cell): 0.0
SG: No. 147

***

Entry 7:
VASP calculation (PBE-GGA) on a relaxed V2CoSbI crystal.

```
data_V2CoSbI
_chemical_formula_sum 'V2 Co1 Sb1 I1'
_cell_length_a 4.7004
_cell_length_b 4.7004
_cell_length_c 4.8646
_cell_angle_alpha 90.00
_cell_angle_beta 90.00
_cell_angle_gamma 90.00
_symmetry_space_group_name_H-M 'P 1'
_symmetry_Int_Tables_number 1
loop_
_symmetry_equiv_pos_as_xyz
'x,y,z'
loop_
_atom_site_label
_atom_site_type_symbol
_atom_site_fract_x
_atom_site_fract_y
_atom_site_fract_z
V1 V 0.0000 0.5000 0.0000
V2 V 0.5000 0.0000 0.0000
Co1 Co 0.0000 0.0000 0.0000
Sb1 Sb 0.5000 0.5000 0.5000
I1 I 0.0000 0.0000 0.5000
```

Output
Uncorrected formation energy (eV/atom): 0.97
Total magnetic moment (μB/cell): 4.7
SG: No. 123

***

Entry 8:
VASP calculation (PBE-GGA) on a relaxed LiPmGdCo crystal.

```
data_LiPmGdCo
_chemical_formula_sum 'Li1 Pm1 Gd1 Co1'
_cell_length_a 4.9525
_cell_length_b 4.9525
_cell_length_c 4.9525
_cell_angle_alpha 60.00
_cell_angle_beta 60.00
_cell_angle_gamma 60.00
_symmetry_space_group_name_H-M 'P 1'
_symmetry_Int_Tables_number 1
loop_
_symmetry_equiv_pos_as_xyz
'x,y,z'
loop_
_atom_site_label
_atom_site_type_symbol
_atom_site_fract_x
_atom_site_fract_y
_atom_site_fract_z
Li1 Li 0.0000 0.0000 0.0000
Pm1 Pm 0.7500 0.7500 0.7500
Gd1 Gd 0.2500 0.2500 0.2500
Co1 Co 0.5000 0.5000 0.5000
```

Output
E_form (eV/atom): -0.01
Total magnetic moment (μB/cell): 7.2
SG: No. 216

***

Entry 9:
VASP calculation (PBE-GGA) on a relaxed ZrInRh2 crystal.

```
data_ZrInRh2
_chemical_formula_sum 'Zr2 In2 Rh4'
_cell_length_a 5.8921
_cell_length_b 5.8921
_cell_length_c 5.8921
_cell_angle_alpha 105.23
_cell_angle_beta 105.23
_cell_angle_gamma 118.33
_symmetry_space_group_name_H-M 'P 1'
_symmetry_Int_Tables_number 1
loop_
_symmetry_equiv_pos_as_xyz
'x,y,z'
loop_
_atom_site_label
_atom_site_type_symbol
_atom_site_fract_x
_atom_site_fract_y
_atom_site_fract_z
Zr1 Zr 0.0000 0.0000 0.0000
Zr2 Zr 0.7500 0.2500 0.5000
In1 In 0.2500 0.7500 0.5000
In2 In 0.5000 0.5000 0.0000
Rh1 Rh 0.1112 0.6250 0.9862
Rh2 Rh 0.3750 0.3612 0.4862
Rh3 Rh 0.6388 0.1250 0.0138
Rh4 Rh 0.8750 0.8888 0.5138
```

Output
E_form (eV/atom): -0.19
Total magnetic moment (μB/cell): 0.0
SG: No. 122

***

Entry 10:
VASP calculation (PBE-GGA) on a relaxed NdTlAg crystal.

```
data_NdTlAg
_chemical_formula_sum 'Nd2 Tl2 Ag2'
_cell_length_a 6.0762
_cell_length_b 6.0762
_cell_length_c 7.4916
_cell_angle_alpha 125.84
_cell_angle_beta 125.84
_cell_angle_gamma 47.55
_symmetry_space_group_name_H-M 'P 1'
_symmetry_Int_Tables_number 1
loop_
_symmetry_equiv_pos_as_xyz
'x,y,z'
loop_
_atom_site_label
_atom_site_type_symbol
_atom_site_fract_x
_atom_site_fract_y
_atom_site_fract_z
Nd1 Nd 0.0281 0.0281 0.2859
Nd2 Nd 0.9719 0.9719 0.7141
Tl1 Tl 0.3295 0.3295 0.8752
Tl2 Tl 0.6705 0.6705 0.1248
Ag1 Ag 0.3401 0.3401 0.3088
Ag2 Ag 0.6599 0.6599 0.6912
```

Output
E_form (eV/atom): -0.27
Total magnetic moment (μB/cell): 0.0
SG: No. 12

***

Entry 11:
VASP calculation (PBE-GGA) on a relaxed Sr2CoIr crystal.

```
data_Sr2CoIr
_chemical_formula_sum 'Sr2 Co1 Ir1'
_cell_length_a 3.4752
_cell_length_b 3.4752
_cell_length_c 8.7959
_cell_angle_alpha 90.00
_cell_angle_beta 90.00
_cell_angle_gamma 90.00
_symmetry_space_group_name_H-M 'P 1'
_symmetry_Int_Tables_number 1
loop_
_symmetry_equiv_pos_as_xyz
'x,y,z'
loop_
_atom_site_label
_atom_site_type_symbol
_atom_site_fract_x
_atom_site_fract_y
_atom_site_fract_z
Sr1 Sr 0.0000 0.0000 0.0000
Sr2 Sr 0.5000 0.5000 0.4217
Co1 Co 0.0000 0.0000 0.6782
Ir1 Ir 0.5000 0.5000 0.7526
```

Output
E_form (eV/atom): 0.23
Total magnetic moment (μB/cell): 1.7
SG: No. 99

***

Entry 12:
VASP calculation (PBE-GGA) on a relaxed BaTaSiO6 crystal.

```
data_BaTaSiO6
_chemical_formula_sum 'Ba1 Ta1 Si1 O6'
_cell_length_a 5.1585
_cell_length_b 5.1585
_cell_length_c 5.7120
_cell_angle_alpha 90.00
_cell_angle_beta 90.00
_cell_angle_gamma 120.00
_symmetry_space_group_name_H-M 'P 1'
_symmetry_Int_Tables_number 1
loop_
_symmetry_equiv_pos_as_xyz
'x,y,z'
loop_
_atom_site_label
_atom_site_type_symbol
_atom_site_fract_x
_atom_site_fract_y
_atom_site_fract_z
Ba1 Ba 0.0000 0.0000 0.0000
Ta1 Ta 0.3333 0.6667 0.5000
Si1 Si 0.6667 0.3333 0.5000
O1 O 0.4078 0.0270 0.6833
O2 O 0.4078 0.3808 0.3167
O3 O 0.6192 0.0270 0.3167
O4 O 0.6192 0.5922 0.6833
O5 O 0.9730 0.3808 0.6833
O6 O 0.9730 0.5922 0.3167
```

Output
Uncorrected formation energy (eV/atom): -2.58
Total magnetic moment (μB/cell): 1.0
SG: No. 149

***

E values (in eV per atom) by entry order: -6.248; -5.101; -1.835; -8.992; -4.118; -3.518; -5.237; -6.974; -6.690; -3.601; -4.606; -8.015.
Volume values (in Å³ per atom) by entry order: 22.70; 10.76; 18.96; 19.46; 25.90; 10.06; 21.50; 21.47; 19.33; 26.14; 26.56; 14.63.